No. 1
{"formula": "Dy6HgTe5", "functional": "PBE", "state": "optimized geometry", "raw_formation_energy_ev_per_atom": -1.18, "crystal_system": "monoclinic", "lattice": [[3.7860, -6.5355, 0.0000], [3.7860, 6.5355, 0.0000], [-2.5057, 0.0000, 7.1097]], "species": ["Dy", "Dy", "Dy", "Dy", "Dy", "Dy", "Hg", "Te", "Te", "Te", "Te", "Te"], "fractional_positions": [[0.0784, 0.3979, 0.7382], [0.2353, 0.2353, 0.2543], [0.3979, 0.0784, 0.7382], [0.6021, 0.9216, 0.2618], [0.7647, 0.7647, 0.7457], [0.9216, 0.6021, 0.2618], [0.0000, 0.0000, 0.5000], [0.1744, 0.8256, 0.0000], [0.3357, 0.6643, 0.5000], [0.5000, 0.5000, 0.0000], [0.6643, 0.3357, 0.5000], [0.8256, 0.1744, 0.0000]]}

***

No. 2
{"formula": "DyTlHgTe3", "functional": "PBE", "state": "optimized geometry", "raw_formation_energy_ev_per_atom": -0.71, "crystal_system": "monoclinic", "lattice": [[9.3549, 0.0000, 0.0000], [0.0000, 4.4922, 0.0000], [-2.9884, 0.0000, 10.0864]], "species": ["Dy", "Dy", "Tl", "Tl", "Hg", "Hg", "Te", "Te", "Te", "Te", "Te", "Te"], "fractional_positions": [[0.1760, 0.2500, 0.1422], [0.8240, 0.7500, 0.8578], [0.2874, 0.7500, 0.7678], [0.7126, 0.2500, 0.2322], [0.4099, 0.7500, 0.3898], [0.5901, 0.2500, 0.6102], [0.0450, 0.2500, 0.8403], [0.2562, 0.2500, 0.4636], [0.4011, 0.7500, 0.1189], [0.5989, 0.2500, 0.8811], [0.7438, 0.7500, 0.5364], [0.9550, 0.7500, 0.1597]]}

***

No. 3
{"formula": "DyTl2Hg2Te4", "functional": "PBE", "state": "optimized geometry", "raw_formation_energy_ev_per_atom": -0.48, "crystal_system": "monoclinic", "lattice": [[8.4977, -2.2174, 0.0000], [8.4977, 2.2174, 0.0000], [-3.7684, 0.0000, 7.9460]], "species": ["Dy", "Tl", "Tl", "Hg", "Hg", "Te", "Te", "Te", "Te"], "fractional_positions": [[0.0000, 0.0000, 0.0000], [0.1226, 0.1226, 0.5616], [0.8774, 0.8774, 0.4384], [0.3058, 0.3058, 0.9727], [0.6942, 0.6942, 0.0273], [0.1968, 0.1968, 0.2559], [0.4830, 0.4830, 0.2329], [0.5170, 0.5170, 0.7671], [0.8032, 0.8032, 0.7441]]}

***

No. 4
{"formula": "Dy2Tl3HgTe6", "functional": "PBE", "state": "optimized geometry", "raw_formation_energy_ev_per_atom": -0.69, "crystal_system": "monoclinic", "lattice": [[3.8664, -6.7299, 0.0000], [3.8664, 6.7299, 0.0000], [-2.5648, 0.0000, 7.8859]], "species": ["Dy", "Dy", "Tl", "Tl", "Tl", "Hg", "Te", "Te", "Te", "Te", "Te", "Te"], "fractional_positions": [[0.1663, 0.8337, 0.0000], [0.8337, 0.1663, 0.0000], [0.0000, 0.0000, 0.5000], [0.3286, 0.6714, 0.5000], [0.6714, 0.3286, 0.5000], [0.5000, 0.5000, 0.0000], [0.0911, 0.4280, 0.7814], [0.2381, 0.2381, 0.2203], [0.4280, 0.0911, 0.7814], [0.5720, 0.9089, 0.2186], [0.7619, 0.7619, 0.7797], [0.9089, 0.5720, 0.2186]]}

***

No. 5
{"formula": "DyTmHgTe", "functional": "PBE", "state": "optimized geometry", "raw_formation_energy_ev_per_atom": -0.83, "crystal_system": "trigonal", "lattice": [[2.0532, 1.1854, 7.7849], [-2.0532, 1.1854, 7.7849], [0.0000, -2.3709, 7.7849]], "species": ["Dy", "Tm", "Hg", "Te"], "fractional_positions": [[0.0000, 0.0000, 0.0000], [0.5027, 0.5027, 0.5027], [0.2501, 0.2501, 0.2501], [0.7524, 0.7524, 0.7524]]}

***

No. 6
{"formula": "Dy3UHg3Te8", "functional": "PBE", "state": "optimized geometry", "raw_formation_energy_ev_per_atom": -0.76, "crystal_system": "monoclinic", "lattice": [[7.5101, -4.3351, 0.0000], [7.5101, 4.3351, 0.0000], [-4.9910, 0.0000, 8.2739]], "species": ["Dy", "Dy", "Dy", "U", "Hg", "Hg", "Hg", "Te", "Te", "Te", "Te", "Te", "Te", "Te", "Te"], "fractional_positions": [[0.0000, 0.0000, 0.0000], [0.0000, 0.5000, 0.0000], [0.5000, 0.0000, 0.0000], [0.5000, 0.5000, 0.0000], [0.0000, 0.5000, 0.5000], [0.5000, 0.0000, 0.5000], [0.5000, 0.5000, 0.5000], [0.2383, 0.2383, 0.2157], [0.2481, 0.7318, 0.2123], [0.2681, 0.2681, 0.7877], [0.2682, 0.7519, 0.7877], [0.7318, 0.2481, 0.2123], [0.7319, 0.7319, 0.2123], [0.7519, 0.2682, 0.7877], [0.7617, 0.7617, 0.7843]]}

***

No. 7
{"formula": "DyYHgTe", "functional": "PBE", "state": "optimized geometry", "raw_formation_energy_ev_per_atom": -0.87, "crystal_system": "trigonal", "lattice": [[2.0740, 1.1975, 7.7818], [-2.0740, 1.1975, 7.7818], [0.0000, -2.3949, 7.7818]], "species": ["Dy", "Y", "Hg", "Te"], "fractional_positions": [[0.0000, 0.0000, 0.0000], [0.4987, 0.4987, 0.4987], [0.7487, 0.7487, 0.7487], [0.2494, 0.2494, 0.2494]]}

***

No. 8
{"formula": "DyThHg2", "functional": "PBE", "state": "optimized geometry", "ef_ev_per_fu": -1.37, "de_polymorph_mev_per_atom": 0, "crystal_system": "tetragonal", "lattice": [[3.6196, 0.0000, 0.0000], [0.0000, 3.6196, 0.0000], [0.0000, 0.0000, 8.1437]], "species": ["Dy", "Th", "Hg", "Hg"], "fractional_positions": [[0.0000, 0.0000, 0.0000], [0.0000, 0.0000, 0.5000], [0.5000, 0.5000, 0.2309], [0.5000, 0.5000, 0.7691]]}

***

| no. | uncorrected energy (eV/cell) |
| --- | --- |
| 1 | -57.8 |
| 2 | -41.9 |
| 3 | -26.8 |
| 4 | -43.7 |
| 5 | -15.8 |
| 6 | -62.6 |
| 7 | -18.0 |
| 8 | -14.0 |